# 1
AgHNF2: optimized geometry, GGA-PBE.

Lattice parameters (Å, degrees): 4.3254 4.3254 2.6800 90.00 90.00 90.00
With the nearest neighbours (Å) after each atom.
Space group P4/mmm (No. 123)
One atom of each set of equivalent atoms:
Ag1 0.0000 0.0000 0.0000 x1  8 F 2.54, 2 Ag 2.68
H1 0.5000 0.5000 0.5000 x1  2 N 1.34
N1 0.5000 0.5000 0.0000 x1  2 H 1.34
F1 0.0000 0.5000 0.5000 x2  2 H 2.16

Computed properties:
total magnetization	0.51	μB/atom
energy	-3.3247	eV per atom

# 2
NaAgH2F8: optimized geometry, GGA-PBE.

Lattice parameters (Å, degrees): 7.9356 5.9535 6.8969 90.00 91.98 90.00
With the nearest neighbours (Å) after each atom.
Space group C2/m (No. 12)
One atom of each set of equivalent atoms:
Na1 0.0000 0.0000 0.0000 x2  6 F 2.36-2.42
Ag1 0.0000 0.0000 0.5000 x2  6 F 1.94
H1 0.2052 0.5000 0.2166 x4  1 F 0.96
F1 0.0148 0.2208 0.2940 x8  1 Ag 1.94
F2 0.2129 0.5000 0.0776 x4  1 H 0.96
F3 0.2434 0.0000 0.5422 x4  1 H 1.70

Computed properties:
total magnetization	0.00	μB/atom
energy	-3.4997	eV per atom

# 3
AgHO2F: optimized geometry, GGA-PBE.

Lattice parameters (Å, degrees): 4.0681 4.0681 4.2737 90.00 90.00 90.00
With the nearest neighbours (Å) after each atom.
Space group P4/mmm (No. 123)
One atom of each set of equivalent atoms:
Ag1 0.0000 0.0000 0.0000 x1  4 O 2.03, 2 F 2.14
H1 0.5000 0.5000 0.5000 x1  4 F 2.88, 8 O 2.95
O1 0.0000 0.5000 0.0000 x2  2 Ag 2.03
F1 0.0000 0.0000 0.5000 x1  2 Ag 2.14

Computed properties:
total magnetization	0.26	μB/atom
energy	-2.8890	eV per atom

# 4
AgHO2F: optimized geometry, GGA-PBE.

Lattice parameters (Å, degrees): 3.0996 3.0996 5.2890 90.00 90.00 90.00
With the nearest neighbours (Å) after each atom.
Space group P4/mmm (No. 123)
One atom of each set of equivalent atoms:
Ag1 0.0000 0.0000 0.0000 x1  4 F 2.19
H1 0.5000 0.5000 0.5000 x1  4 O 1.55
O1 0.0000 0.5000 0.5000 x2  2 H 1.55
F1 0.5000 0.5000 0.0000 x1  4 Ag 2.19

Computed properties:
total magnetization	0.00	μB/atom
energy	-3.2824	eV per atom

# 5
AgHOsF2: optimized geometry, GGA-PBE.

Lattice parameters (Å, degrees): 4.0563 4.0563 5.6411 90.00 90.00 90.00
With the nearest neighbours (Å) after each atom.
Space group P4/mmm (No. 123)
One atom of each set of equivalent atoms:
Ag1 0.0000 0.0000 0.0000 x1  4 F 2.03
H1 0.5000 0.5000 0.5000 x1  4 Os 2.87
Os1 0.0000 0.0000 0.5000 x1  2 Ag 2.82, 4 H 2.87
F1 0.0000 0.5000 0.0000 x2  2 Ag 2.03

Computed properties:
total magnetization	0.72	μB/atom
energy	-3.2931	eV per atom

# 6
AgHPbF6: optimized geometry, GGA-PBE.

Lattice parameters (Å, degrees): 4.4053 5.5294 5.7965 93.83 92.57 110.88
With the nearest neighbours (Å) after each atom.
Space group P1 (No. 1)
One atom of each set of equivalent atoms:
Ag1 0.0000 0.0000 0.0000 x1  5 F 2.31-2.47
H1 0.6956 0.4070 0.2374 x1  2 F 1.10-1.20
Pb1 0.2903 0.6154 0.5342 x1  6 F 2.07-2.31
F1 0.1622 0.2984 0.7286 x1  1 Pb 2.07, 1 Ag 2.31
F2 0.2695 0.8906 0.3106 x1  1 Pb 2.09
F3 0.4429 0.9017 0.8271 x1  1 Pb 2.15
F4 0.5191 0.5017 0.2046 x1  1 H 1.10
F5 0.8062 0.6498 0.6363 x1  2 Pb 2.26-2.31, 1 H 2.53
F6 0.9003 0.3159 0.2789 x1  1 H 1.20

Computed properties:
total magnetization	0.00	μB/atom
energy	-3.9966	eV per atom